This record from Alexandria via LeMat-Bulk describes crystalline ReNi2Ru at its relaxed geometry. The functional is PBE-GGA.

a b c (Å): 4.517 4.517 4.555
angles (deg): 80.02 80.02 34.29
Fractional positions:
Re: 0.750 0.750 0.750
Ru: 0.250 0.250 0.250
Ni: 0.500 0.500 0.507
Ni: 0.000 0.000 0.993

Values from the calculation:
magnetization: 0.00 Bohr magnetons per cell
E: -32.831 eV per cell

This record from Alexandria via LeMat-Bulk describes crystalline ReNi2Ru at its relaxed geometry. The functional is PBE-GGA.

a b c (Å): 2.664 2.664 7.209
angles (deg): 90.00 90.00 90.00
Fractional positions:
Ru: 0.500 0.500 0.760
Ni: 0.500 0.500 0.242
Ni: 0.000 0.000 0.008
Re: 0.000 0.000 0.490

Values from the calculation:
magnetization: 0.00 Bohr magnetons per cell
E: -33.012 eV per cell

This record from Alexandria via LeMat-Bulk describes crystalline ReNi2Ru at its relaxed geometry. The functional is PBE-GGA.

a b c (Å): 3.673 3.674 3.757
angles (deg): 90.00 90.00 90.00
Fractional positions:
Ni: 0.500 0.500 0.000
Ni: 0.000 0.000 0.000
Re: 0.500 0.000 0.500
Ru: 0.000 0.500 0.500

Values from the calculation:
magnetization: 0.00 Bohr magnetons per cell
E: -32.891 eV per cell

This record from Alexandria via LeMat-Bulk describes crystalline ReNi2Ru at its relaxed geometry. The functional is PBE-GGA.

a b c (Å): 4.381 4.381 2.654
angles (deg): 90.00 90.00 90.00
Fractional positions:
Re: 0.500 0.000 0.500
Ni: 0.500 0.500 0.000
Ni: 0.000 0.000 0.000
Ru: 0.000 0.500 0.500

Values from the calculation:
magnetization: 0.00 Bohr magnetons per cell
E: -32.296 eV per cell

This record from Alexandria via LeMat-Bulk describes crystalline ReNi2Ru at its relaxed geometry. The functional is PBE-GGA.

a b c (Å): 2.662 4.556 5.223
angles (deg): 54.34 90.00 90.00
Fractional positions:
Ru: 0.000 0.000 0.500
Re: 0.500 0.500 0.500
Ni: 0.500 0.500 0.000
Ni: 0.000 0.000 0.000

Values from the calculation:
magnetization: 0.00 Bohr magnetons per cell
E: -32.819 eV per cell

This record from Alexandria via LeMat-Bulk describes crystalline ReNi2Ru at its relaxed geometry. The functional is PBE-GGA.

a b c (Å): 4.550 4.550 4.500
angles (deg): 80.37 80.37 33.78
Fractional positions:
Ni: 0.001 0.001 0.987
Ni: 0.749 0.749 0.761
Re: 0.497 0.497 0.499
Ru: 0.253 0.253 0.253

Values from the calculation:
magnetization: 0.00 Bohr magnetons per cell
E: -33.067 eV per cell

This record from Alexandria via LeMat-Bulk describes crystalline ReNi2Ru at its relaxed geometry. The functional is PBE-GGA.

a b c (Å): 2.669 3.704 5.176
angles (deg): 90.00 90.00 90.00
Fractional positions:
Ni: 0.500 0.500 0.240
Ni: 0.000 0.000 0.014
Re: 0.000 0.000 0.496
Ru: 0.500 0.500 0.750

Values from the calculation:
magnetization: 0.00 Bohr magnetons per cell
E: -33.139 eV per cell

This record from Alexandria via LeMat-Bulk describes crystalline Re2NiRu at its relaxed geometry. The functional is PBE-GGA.

a b c (Å): 8.839 8.839 8.839
angles (deg): 17.69 17.69 17.69
Fractional positions:
Re: 0.002 0.002 0.002
Re: 0.498 0.498 0.498
Ru: 0.250 0.250 0.250
Ni: 0.750 0.750 0.750

Values from the calculation:
magnetization: 0.00 Bohr magnetons per cell
E: -39.480 eV per cell

This record from Alexandria via LeMat-Bulk describes crystalline ReTc2NiRu at its relaxed geometry. The functional is PBE-GGA.

a b c (Å): 4.335 4.380 4.335
angles (deg): 90.00 90.00 90.00
Fractional positions:
Tc: 0.000 0.000 0.500
Tc: 0.500 0.000 0.000
Re: 0.000 0.500 0.000
Ni: 0.000 0.000 0.000
Ru: 0.500 0.500 0.500

Values from the calculation:
magnetization: 0.00 Bohr magnetons per cell
E: -40.081 eV per cell

This record from Alexandria via LeMat-Bulk describes crystalline VReNi2Ru at its relaxed geometry. The functional is PBE-GGA.

a b c (Å): 4.429 4.329 4.429
angles (deg): 90.00 90.00 90.00
Each line ends with the local moment (μB).
Fractional positions:
Ni: 0.500 0.000 0.000  0.28
Ni: 0.000 0.000 0.500  0.25
Ru: 0.000 0.000 0.000  0.39
Re: 0.500 0.500 0.500  2.12
V: 0.000 0.500 0.000  -1.06

Values from the calculation:
magnetization: 2.13 Bohr magnetons per cell
E: -34.183 eV per cell

This record from Alexandria via LeMat-Bulk describes crystalline YReNi2Ru at its relaxed geometry. The functional is PBE-GGA.

a b c (Å): 4.470 5.225 4.470
angles (deg): 90.00 90.00 90.00
Each line ends with the local moment (μB).
Fractional positions:
Re: 0.000 0.000 0.000  0.18
Ni: 0.500 0.000 0.000  0.05
Ni: 0.000 0.000 0.500  -0.01
Y: 0.000 0.500 0.000  -0.09
Ru: 0.500 0.500 0.500  1.65

Values from the calculation:
magnetization: 1.75 Bohr magnetons per cell
E: -32.825 eV per cell

This record from Alexandria via LeMat-Bulk describes crystalline Re3NiS at its relaxed geometry. The functional is PBE-GGA.

a b c (Å): 4.305 4.305 4.305
angles (deg): 90.00 90.00 90.00
Fractional positions:
Ni: 0.500 0.500 0.500
Re: 0.000 0.500 0.000
Re: 0.500 0.000 0.000
Re: 0.000 0.000 0.500
S: 0.000 0.000 0.000

Values from the calculation:
magnetization: 0.00 Bohr magnetons per cell
E: -41.704 eV per cell
formation energy (no corrections): 5.55 eV/f.u.

This record from Alexandria via LeMat-Bulk describes crystalline ReNi2S at its relaxed geometry. The functional is PBE-GGA.

a b c (Å): 4.494 4.508 5.221
angles (deg): 102.45 92.17 93.23
Fractional positions:
Ni: 0.185 0.488 0.073
Ni: 0.191 0.643 0.577
Ni: 0.674 0.429 0.778
Ni: 0.020 0.112 0.361
Re: 0.508 0.012 0.058
Re: 0.692 0.562 0.302
S: 0.485 0.026 0.510
S: 0.982 0.849 0.932

Values from the calculation:
magnetization: 0.00 Bohr magnetons per cell
E: -55.697 eV per cell
formation energy (no corrections): 0.29 eV/f.u.

This record from Alexandria via LeMat-Bulk describes crystalline ReNi2S at its relaxed geometry. The functional is PBE-GGA.

a b c (Å): 4.221 4.544 5.582
angles (deg): 96.74 90.03 105.77
Fractional positions:
Re: 0.290 0.331 0.761
Re: 0.952 0.892 0.427
S: 0.268 0.166 0.137
S: 0.806 0.390 0.567
Ni: 0.921 0.775 0.893
Ni: 0.447 0.842 0.647
Ni: 0.798 0.310 0.129
Ni: 0.400 0.704 0.178

Values from the calculation:
magnetization: 0.00 Bohr magnetons per cell
E: -55.571 eV per cell
formation energy (no corrections): 0.35 eV/f.u.

This record from Alexandria via LeMat-Bulk describes crystalline ReNiS3 at its relaxed geometry. The functional is PBE-GGA.

a b c (Å): 4.273 4.273 4.273
angles (deg): 90.00 90.00 90.00
Fractional positions:
Ni: 0.000 0.000 0.000
S: 0.500 0.000 0.000
S: 0.000 0.000 0.500
S: 0.000 0.500 0.000
Re: 0.500 0.500 0.500

Values from the calculation:
magnetization: 0.01 Bohr magnetons per cell
E: -25.149 eV per cell
formation energy (no corrections): 5.46 eV/f.u.